A relaxed RbSrIn2 crystal, computed with PBE.

Summary:
- ΔE to the lowest computed polymorph: 21.5 kJ per mole of atoms

abc: 7.7089 7.7089 7.7089
angles: 102.77 102.77 123.91
Positions (direct):
Rb (0.0000, 0.0000, 0.0000)
Rb (0.7500, 0.2500, 0.5000)
Sr (0.2500, 0.7500, 0.5000)
Sr (0.5000, 0.5000, 0.0000)
In (0.1435, 0.6250, 0.0185)
In (0.3750, 0.3935, 0.5185)
In (0.6065, 0.1250, 0.9815)
In (0.8750, 0.8565, 0.4815)

A relaxed NaInP2Ir crystal, computed with PBE.

Summary:
- ΔE to the lowest computed polymorph: 40.7 kJ per mole of atoms

abc: 4.9120 4.9120 4.9531
angles: 90.00 90.00 90.00
Positions (direct):
Na (0.0000, 0.0000, 0.0000)
In (0.0000, 0.0000, 0.5000)
P (0.0000, 0.5000, 0.5000)
P (0.5000, 0.0000, 0.5000)
Ir (0.5000, 0.5000, 0.0000)

A relaxed Sm3Ga6Pd20 crystal, computed with PBE.

Summary:
- Total energy: -155.3 eV for the cell shown

abc: 8.8718 8.8718 8.8718
angles: 60.00 60.00 60.00
Positions (direct):
Sm (0.0000, 0.0000, 0.0000)
Sm (0.2500, 0.2500, 0.2500)
Sm (0.7500, 0.7500, 0.7500)
Ga (0.2727, 0.2727, 0.7273)
Ga (0.2727, 0.7273, 0.2727)
Ga (0.2727, 0.7273, 0.7273)
Ga (0.7273, 0.2727, 0.2727)
Ga (0.7273, 0.2727, 0.7273)
Ga (0.7273, 0.7273, 0.2727)
Pd (0.0000, 0.0000, 0.3452)
Pd (0.0000, 0.0000, 0.6548)
Pd (0.0000, 0.3452, 0.0000)
Pd (0.0000, 0.3452, 0.6548)
Pd (0.0000, 0.6548, 0.0000)
Pd (0.0000, 0.6548, 0.3452)
Pd (0.1399, 0.6200, 0.6200)
Pd (0.3452, 0.0000, 0.0000)
Pd (0.3452, 0.0000, 0.6548)
Pd (0.3452, 0.6548, 0.0000)
Pd (0.3800, 0.3800, 0.3800)
Pd (0.3800, 0.3800, 0.8601)
Pd (0.3800, 0.8601, 0.3800)
Pd (0.6200, 0.1399, 0.6200)
Pd (0.6200, 0.6200, 0.1399)
Pd (0.6200, 0.6200, 0.6200)
Pd (0.6548, 0.0000, 0.0000)
Pd (0.6548, 0.0000, 0.3452)
Pd (0.6548, 0.3452, 0.0000)
Pd (0.8601, 0.3800, 0.3800)

A relaxed TiNbFe2Se crystal, computed with PBE.

Summary:
- Total energy: -32.0 eV for the cell shown

abc: 4.5308 4.5308 4.9345
angles: 90.00 90.00 90.00
Positions (direct):
Ti (0.0000, 0.0000, 0.0000)
Nb (0.0000, 0.0000, 0.5000)
Fe (0.0000, 0.5000, 0.5000)
Fe (0.5000, 0.0000, 0.5000)
Se (0.5000, 0.5000, 0.0000)

A relaxed Ce2DyBe crystal, computed with PBE.

Summary:
- Total energy: -17.3 eV for the cell shown

abc: 11.9194 11.9194 11.9194
angles: 15.22 15.22 15.22
Positions (direct):
Ce (0.0821, 0.0821, 0.0821)
Ce (0.9179, 0.9179, 0.9179)
Dy (0.5000, 0.5000, 0.5000)
Be (0.0000, 0.0000, 0.0000)

A relaxed NdDy3Y7 crystal, computed with PBE.

Summary:
- ΔE to the lowest computed polymorph: 5.5 kJ per mole of atoms

abc: 7.1015 7.1015 8.6329
angles: 90.00 90.00 120.00
Positions (direct):
Nd (0.0000, 0.0000, 0.0000)
Dy (0.1669, 0.3339, 0.3355)
Dy (0.1669, 0.8331, 0.3355)
Dy (0.6661, 0.8331, 0.3355)
Y (0.0020, 0.5010, 0.0014)
Y (0.3312, 0.1656, 0.6674)
Y (0.3333, 0.6667, 0.6689)
Y (0.4990, 0.5010, 0.0014)
Y (0.4990, 0.9980, 0.0014)
Y (0.8344, 0.1656, 0.6674)
Y (0.8344, 0.6688, 0.6674)

A relaxed La3BiIr crystal, computed with PBE.

Summary:
- ΔE to the lowest computed polymorph: 12.5 kJ per mole of atoms

abc: 7.3261 7.3261 9.3804
angles: 113.20 113.20 46.57
Positions (direct):
La (0.1012, 0.1012, 0.2303)
La (0.1488, 0.1488, 0.6413)
La (0.3672, 0.3672, 0.0878)
La (0.6328, 0.6328, 0.9122)
La (0.8512, 0.8512, 0.3587)
La (0.8988, 0.8988, 0.7697)
Bi (0.3844, 0.3844, 0.5627)
Bi (0.6156, 0.6156, 0.4373)
Ir (0.1296, 0.1296, 0.9329)
Ir (0.8704, 0.8704, 0.0671)

A relaxed Ca2BiPb crystal, computed with PBE.

Summary:
- ΔE to the lowest computed polymorph: 0.0 kJ per mole of atoms

abc: 5.2839 5.2839 4.4137
angles: 90.00 90.00 90.00
Positions (direct):
Ca (0.0000, 0.5000, 0.0000)
Ca (0.5000, 0.0000, 0.0000)
Bi (0.0000, 0.0000, 0.5000)
Pb (0.5000, 0.5000, 0.5000)